Entry 1:
# Si2OsAu | Alexandria via LeMat-Bulk | PBE | relaxed
# Raw formation energy: 0.426 eV per atom
# DFT total energy: -5.913 eV/atom
# D(E_F): 5.54 states/eV/cell
data_Si2OsAu
_symmetry_space_group_name_H-M 'C m m 2'
_symmetry_Int_Tables_number 35
_symmetry_space_group_name_Hall 'C 2 -2'
_cell_length_a 2.920
_cell_length_b 4.927
_cell_length_c 8.646
_cell_angle_alpha 90.00
_cell_angle_beta 90.00
_cell_angle_gamma 90.00
loop_
_atom_site_label
_atom_site_type_symbol
_atom_site_fract_x
_atom_site_fract_y
_atom_site_fract_z
Si1 Si 0.000 0.000 0.000
Si2 Si 0.000 0.500 0.238
Os1 Os 0.000 0.000 0.450
Au1 Au 0.000 0.500 0.741



Entry 2:
# SiOs2Au | Alexandria via LeMat-Bulk | PBE | relaxed
# Raw formation energy: 0.536 eV per atom
# DFT total energy: -7.254 eV/atom
# D(E_F): 8.90 states/eV/cell
data_SiOs2Au
_symmetry_space_group_name_H-M 'C m m 2'
_symmetry_Int_Tables_number 35
_symmetry_space_group_name_Hall 'C 2 -2'
_cell_length_a 2.781
_cell_length_b 4.879
_cell_length_c 9.121
_cell_angle_alpha 90.00
_cell_angle_beta 90.00
_cell_angle_gamma 90.00
loop_
_atom_site_label
_atom_site_type_symbol
_atom_site_fract_x
_atom_site_fract_y
_atom_site_fract_z
Si1 Si 0.000 0.000 0.000
Os1 Os 0.000 0.000 0.463
Os2 Os 0.000 0.500 0.219
Au1 Au 0.000 0.500 0.743



Entry 3:
# SiOs2Au | Alexandria via LeMat-Bulk | PBE | relaxed
# Raw formation energy: 0.496 eV per atom
# DFT total energy: -7.294 eV/atom
# D(E_F): 4.48 states/eV/cell
data_SiOs2Au
_symmetry_space_group_name_H-M 'I -4 m 2'
_symmetry_Int_Tables_number 119
_symmetry_space_group_name_Hall 'I -4 -2'
_cell_length_a 3.873
_cell_length_b 3.873
_cell_length_c 7.841
_cell_angle_alpha 90.00
_cell_angle_beta 90.00
_cell_angle_gamma 90.00
loop_
_atom_site_label
_atom_site_type_symbol
_atom_site_fract_x
_atom_site_fract_y
_atom_site_fract_z
Si1 Si 0.000 0.000 0.000
Os1 Os 0.000 0.000 0.500
Os2 Os 0.000 0.500 0.250
Au1 Au 0.000 0.500 0.750



Entry 4:
# Si2OsAu | Alexandria via LeMat-Bulk | PBE | relaxed
# Raw formation energy: 0.360 eV per atom
# DFT total energy: -5.978 eV/atom
# D(E_F): 1.32 states/eV/cell
data_Si2OsAu
_symmetry_space_group_name_H-M 'C 1 2/m 1'
_symmetry_Int_Tables_number 12
_symmetry_space_group_name_Hall '-C 2y'
_cell_length_a 5.503
_cell_length_b 8.164
_cell_length_c 3.121
_cell_angle_alpha 90.00
_cell_angle_beta 108.53
_cell_angle_gamma 90.00
loop_
_atom_site_label
_atom_site_type_symbol
_atom_site_fract_x
_atom_site_fract_y
_atom_site_fract_z
Si1 Si 0.250 0.250 0.000
Os1 Os 0.000 0.000 0.000
Au1 Au 0.000 0.500 0.000



For the records above, the corresponding energy above the lowest structure with this stoichiometry values read 0.4821; 0.3896; 0.3493; 0.4165 eV per atom.